[1]
First-principles (PBE-GGA) data for LiErTh2Se5 after structural relaxation, as listed in Alexandria via LeMat-Bulk.

Properties
The density of states at the Fermi level comes out at 20.40 states/eV per cell. Its total energy is -212.61 eV for the cell shown. The calculation puts the uncorrected formation energy at -1.601 eV/atom.

```
data_LiErTh2Se5
_chemical_formula_sum 'Li4 Er4 Th8 Se20'
_cell_length_a 4.0268
_cell_length_b 17.2359
_cell_length_c 12.5369
_cell_angle_alpha 90.00
_cell_angle_beta 90.00
_cell_angle_gamma 90.00
_space_group_name_H-M_alt 'C m c 21'
_space_group_IT_number 36
loop_
_space_group_symop_operation_xyz
'x,y,z'
'-x,-y,z+1/2'
'-x,y,z'
'x,-y,z+1/2'
'x+1/2,y+1/2,z'
'-x+1/2,-y+1/2,z+1/2'
'-x+1/2,y+1/2,z'
'x+1/2,-y+1/2,z+1/2'
loop_
_atom_site_label
_atom_site_fract_x
_atom_site_fract_y
_atom_site_fract_z
_atom_site_occupancy
Li1 0.0000 0.0097 0.0000 1
Er1 0.0000 0.3045 0.5196 1
Th1 0.0000 0.3705 0.8166 1
Th2 0.0000 0.3908 0.2003 1
Se1 0.0000 0.0003 0.3059 1
Se2 0.0000 0.1398 0.5166 1
Se3 0.0000 0.1917 0.8605 1
Se4 0.0000 0.2128 0.1781 1
Se5 0.0000 0.4543 0.5925 1
```

[2]
First-principles (PBE-GGA) data for Ac6Tl6Cd after structural relaxation, as listed in Alexandria via LeMat-Bulk.

Properties
The density of states at the Fermi level comes out at 13.86 states/eV per cell. Its total energy is -42.66 eV for the cell shown.

```
data_Ac6Tl6Cd
_chemical_formula_sum 'Ac6 Tl6 Cd1'
_cell_length_a 6.8973
_cell_length_b 6.8973
_cell_length_c 11.5163
_cell_angle_alpha 90.00
_cell_angle_beta 90.00
_cell_angle_gamma 120.00
_space_group_name_H-M_alt 'P 6/m m m'
_space_group_IT_number 191
_space_group_name_Hall '-P 6 2'
loop_
_atom_site_label
_atom_site_fract_x
_atom_site_fract_y
_atom_site_fract_z
_atom_site_occupancy
Ac1 0.0000 0.0000 0.1927 1
Ac2 0.3333 0.6667 0.0000 1
Ac3 0.3333 0.6667 0.5000 1
Tl1 0.0000 0.5000 0.2520 1
Cd1 0.0000 0.0000 0.5000 1
```

[3]
First-principles (PBE-GGA) data for SrTlNO2 after structural relaxation, as listed in Alexandria via LeMat-Bulk.

Properties
The density of states at the Fermi level comes out at 3.12 states/eV per cell. Its total energy is -23.94 eV for the cell shown. The calculation puts the uncorrected formation energy at -0.329 eV/atom.

```
data_SrTlNO2
_chemical_formula_sum 'Sr1 Tl1 N1 O2'
_cell_length_a 4.3905
_cell_length_b 4.3905
_cell_length_c 4.2523
_cell_angle_alpha 90.00
_cell_angle_beta 90.00
_cell_angle_gamma 90.00
_space_group_name_H-M_alt 'P 4/m m m'
_space_group_IT_number 123
_space_group_name_Hall '-P 4 2'
loop_
_atom_site_label
_atom_site_fract_x
_atom_site_fract_y
_atom_site_fract_z
_atom_site_occupancy
Sr1 0.0000 0.0000 0.0000 1
Tl1 0.5000 0.5000 0.5000 1
N1 0.5000 0.5000 0.0000 1
O1 0.0000 0.5000 0.5000 1
```

[4]
First-principles (PBE-GGA) data for Mg2TaCr after structural relaxation, as listed in Alexandria via LeMat-Bulk.

Properties
The density of states at the Fermi level comes out at 7.03 states/eV per cell. Its total energy is -45.36 eV for the cell shown. As for the energy relative to the lowest polymorph listed for this composition: 223.3 meV/atom.

```
data_Mg2TaCr
_chemical_formula_sum 'Mg4 Ta2 Cr2'
_cell_length_a 3.2738
_cell_length_b 4.3524
_cell_length_c 9.6041
_cell_angle_alpha 90.00
_cell_angle_beta 90.00
_cell_angle_gamma 90.00
_space_group_name_H-M_alt 'C m m m'
_space_group_IT_number 65
_space_group_name_Hall '-C 2 2'
loop_
_atom_site_label
_atom_site_fract_x
_atom_site_fract_y
_atom_site_fract_z
_atom_site_occupancy
Mg1 0.0000 0.0000 0.2309 1
Ta1 0.0000 0.5000 0.5000 1
Cr1 0.0000 0.5000 0.0000 1
```